[1]
The following is a DFT calculation (PBE-GGA) of a geometry-optimized Li3AlGe structure.

excess energy over the best structure of this formula in the dataset: 0.00 eV/f.u.
crystal system: monoclinic

a b c (Å): 4.379 5.572 6.692
angles (deg): 80.35 90.00 90.00
Fractional positions:
Li1 0.624 0.823 0.577
Li2 0.124 0.105 0.503
Li3 0.124 0.522 0.665
Li4 0.624 0.577 0.982
Li5 0.624 0.994 0.145
Li6 0.124 0.275 0.070
Ge1 0.124 0.866 0.884
Ge2 0.624 0.232 0.763
Al1 0.124 0.697 0.270
Al2 0.624 0.402 0.377

[2]
The following is a DFT calculation (PBE-GGA) of a geometry-optimized Li6CaTl8 structure.

E: -2.292 eV/atom
crystal system: trigonal

a b c (Å): 8.613 8.613 7.603
angles (deg): 55.50 55.50 60.00
Fractional positions:
Tl1 0.572 0.193 0.357
Tl2 0.807 0.122 0.643
Tl3 0.620 0.620 0.139
Tl4 0.380 0.380 0.861
Tl5 0.878 0.572 0.357
Tl6 0.428 0.807 0.643
Tl7 0.122 0.428 0.643
Tl8 0.193 0.878 0.357
Li1 0.702 0.431 0.853
Li2 0.298 0.569 0.147
Li3 0.986 0.298 0.147
Li4 0.569 0.986 0.147
Li5 0.431 0.014 0.853
Li6 0.014 0.702 0.853
Ca1 0.000 0.000 0.000

[3]
The following is a DFT calculation (PBE-GGA) of a geometry-optimized CaPAuCl2 structure.

excess energy over the best structure of this formula in the dataset: 0.84 eV/f.u.
crystal system: tetragonal
formation energy from raw total energies: -194 meV/atom

a b c (Å): 5.058 5.058 6.790
angles (deg): 90.00 90.00 90.00
Last column: magnetic moment on the atom in μB.
Fractional positions:
Cl1 0.500 0.000 0.000  0.02
Cl2 0.000 0.500 0.000  0.02
P1 0.000 0.000 0.500  0.92
Au1 0.500 0.500 0.500  -0.09
Ca1 0.000 0.000 0.000  0.02

[4]
The following is a DFT calculation (PBE-GGA) of a geometry-optimized SrSiHg2 structure.

crystal system: orthorhombic
formation energy from raw total energies: -46 meV/atom

a b c (Å): 3.774 3.774 7.287
angles (deg): 90.00 90.00 93.17
Fractional positions:
Hg1 0.000 0.000 0.035
Hg2 0.500 0.500 0.288
Sr1 0.500 0.500 0.741
Si1 0.000 0.000 0.435

[5]
The following is a DFT calculation (PBE-GGA) of a geometry-optimized GeRuPbO6 structure.

crystal system: trigonal
formation energy from raw total energies: -1155 meV/atom

a b c (Å): 5.164 5.164 10.281
angles (deg): 90.00 90.00 120.00
Last column: magnetic moment on the atom in μB.
Fractional positions:
O1 0.996 0.617 0.355  0.08
O2 0.004 0.620 0.855  0.08
O3 0.617 0.996 0.855  0.08
O4 0.617 0.620 0.645  0.08
O5 0.996 0.380 0.145  0.08
O6 0.620 0.004 0.355  0.08
O7 0.383 0.004 0.145  0.08
O8 0.004 0.383 0.645  0.08
O9 0.380 0.996 0.645  0.08
O10 0.383 0.380 0.355  0.08
O11 0.620 0.617 0.145  0.08
O12 0.380 0.383 0.855  0.08
Pb1 0.000 0.000 0.000  -0.02
Pb2 0.000 0.000 0.500  -0.02
Ru1 0.333 0.667 0.250  1.28
Ru2 0.667 0.333 0.750  1.28
Ge1 0.333 0.667 0.750  0.02
Ge2 0.667 0.333 0.250  0.02

[6]
The following is a DFT calculation (PBE-GGA) of a geometry-optimized CaHf2IrS structure.

crystal system: tetragonal
formation energy from raw total energies: 1873 meV/atom

a b c (Å): 5.182 4.553 5.182
angles (deg): 90.00 90.00 90.00
Fractional positions:
Ca1 0.000 0.000 0.000
Ir1 0.000 0.500 0.000
Hf1 0.500 0.000 0.000
Hf2 0.000 0.000 0.500
S1 0.500 0.500 0.500

[7]
The following is a DFT calculation (PBE-GGA) of a geometry-optimized Pm3Sm6ErTh2 structure.

E: -5.136 eV/atom
crystal system: monoclinic

a b c (Å): 6.252 6.252 12.019
angles (deg): 94.99 94.99 119.92
Fractional positions:
Th1 0.334 0.666 0.000
Th2 0.666 0.334 0.000
Sm1 0.918 0.582 0.755
Sm2 0.418 0.082 0.245
Sm3 0.582 0.918 0.755
Sm4 0.255 0.255 0.755
Sm5 0.082 0.418 0.245
Sm6 0.745 0.745 0.245
Pm1 0.500 0.500 0.500
Pm2 0.167 0.833 0.500
Pm3 0.833 0.167 0.500
Er1 0.000 0.000 0.000

[8]
The following is a DFT calculation (PBE-GGA) of a geometry-optimized MgZr2Te structure.

excess energy over the best structure of this formula in the dataset: 0.01 eV/f.u.
crystal system: monoclinic
formation energy from raw total energies: -294 meV/atom

a b c (Å): 4.504 3.606 5.770
angles (deg): 71.90 90.00 90.00
Fractional positions:
Te1 0.500 0.548 0.781
Zr1 0.500 0.276 0.321
Zr2 0.000 0.969 0.940
Mg1 0.000 0.708 0.458